(1)
The following is a PBE-GGA calculation of a geometry-optimized TbCePuMg structure, from the Alexandria database.

```
TbCePuMg
1.0
5.4035 0.0000 0.0000
2.7018 4.6796 0.0000
2.7018 1.5599 4.4120
Mg Pu Ce Tb
1 1 1 1
Direct
0.7500 0.7500 0.7500 Mg
0.2500 0.2500 0.2500 Pu
0.0000 0.0000 0.0000 Ce
0.5000 0.5000 0.5000 Tb
```

Calculated values
Its total magnetization is 7.66 μB per cell. The calculation puts the calculated formation energy at 132 meV per atom. The crystal system is cubic. The value obtained for the volume is 27.891 Å³/atom.

=====

(2)
The following is a PBE-GGA calculation of a geometry-optimized Ca2CdIrN structure, from the Alexandria database.

```
Ca2CdIrN
1.0
5.1226 0.0000 0.0000
0.0000 5.1226 0.0000
0.0000 0.0000 3.8294
Ca Cd N Ir
2 1 1 1
Direct
0.5000 0.0000 0.0000 Ca
0.0000 0.5000 0.0000 Ca
0.5000 0.5000 0.5000 Cd
0.0000 0.0000 0.0000 N
0.0000 0.0000 0.5000 Ir
```

Calculated values
Its total magnetization is 0.00 μB per cell. The calculation puts the raw formation energy at -13.1 kcal/mol of atoms. The crystal system is tetragonal. The value obtained for the volume is 20.098 Å³/atom.

=====

| no. | DFT total energy (eV/atom) |
| --- | --- |
| 1 | -6.4911 |
| 2 | -4.9911 |